[1]
Computed, not measured: an optimized crystal structure of SrNd3Au4 at the GGA-PBE level of DFT.

Summary:
- crystal system = tetragonal
- total magnetization (μB/atom) = 0.000
- formation energy from the elements (meV per atom) = -752
- E (eV per cell) = -70.22

Geometry as extended XYZ:
```
16
Lattice="-3.3106 -3.8407 -1.5645 3.4460 -4.8170 4.5332 -6.6899 2.5788 7.8257" Properties=species:S:1:pos:R:3 pbc="T T T"
Sr 1.7230 -2.4085 2.2666
Sr -1.6220 -1.1191 6.1794
Nd 0.0000 0.0000 0.0000
Nd -3.3449 1.2894 3.9128
Nd -6.6747 0.0114 5.0860
Nd -3.3258 -1.2733 1.1751
Nd -4.9508 -2.3959 7.3531
Nd -1.6038 -3.6829 3.4413
Au 0.9754 -5.5977 2.6784
Au -2.3696 -4.3082 6.5913
Au -0.8400 -3.0600 0.2903
Au -4.1850 -1.7706 4.2031
Au -2.3896 -1.7465 9.3286
Au -2.3496 -6.8700 3.8539
Au -4.1649 -4.3324 1.4658
Au -4.2050 0.7911 6.9404
```

***

[2]
Computed, not measured: an optimized crystal structure of SrNd2Au6 at the GGA-PBE level of DFT.

Summary:
- crystal system = hexagonal
- total magnetization (μB/atom) = 0.000
- formation energy from the elements (meV per atom) = -733
- E (eV per cell) = -37.48

Geometry as extended XYZ:
```
9
Lattice="-0.2224 2.0381 -3.0553 7.5902 -2.4900 -2.2136 -6.6467 -4.3288 -2.4014" Properties=species:S:1:pos:R:3 pbc="T T T"
Sr 0.0000 0.0000 0.0000
Nd -2.1234 -1.6780 -5.3937
Nd 2.8445 -3.1026 -2.2765
Au 0.2042 -1.2631 -3.0692
Au 0.5170 -3.5175 -4.6010
Au 3.0551 -4.3502 -5.3412
Au -1.7066 -4.9668 -5.4021
Au 2.4277 0.1862 -2.2681
Au -2.3340 -0.4305 -2.3290
```

***

[3]
Computed, not measured: an optimized crystal structure of SrNd3Au2 at the GGA-PBE level of DFT.

Summary:
- energy above the most stable polymorph in this dataset (meV per atom) = 81
- crystal system = monoclinic
- total magnetization (μB/atom) = 0.000
- formation energy from the elements (meV per atom) = -443
- E (eV per cell) = -50.39

Geometry as extended XYZ:
```
12
Lattice="-4.7994 2.0999 1.2606 2.0913 -6.3349 6.9990 3.5301 8.4074 -0.5651" Properties=species:S:1:pos:R:3 pbc="T T T"
Sr 0.6924 5.1072 5.6440
Sr 0.1296 -0.9348 2.0506
Nd 1.9876 1.9319 4.3490
Nd -0.5781 1.4216 6.9464
Nd 0.1133 5.9291 2.0701
Nd 0.7088 -1.7566 5.6244
Nd 1.4001 2.7509 0.7481
Nd -1.1655 2.2406 3.3455
Au 0.5995 8.1561 0.2117
Au 0.2225 -3.9836 7.4829
Au -1.9224 -0.3606 4.7971
Au 2.7444 4.5331 2.8974
```

***

[4]
Computed, not measured: an optimized crystal structure of Sr2NdAu6 at the GGA-PBE level of DFT.

Summary:
- crystal system = hexagonal
- total magnetization (μB/atom) = 0.000
- formation energy from the elements (meV per atom) = -727
- E (eV per cell) = -34.34

Geometry as extended XYZ:
```
9
Lattice="3.7499 0.0000 0.0000 0.0000 7.2181 -4.1673 0.0000 0.0000 8.3347" Properties=species:S:1:pos:R:3 pbc="T T T"
Sr 0.0000 2.4060 4.1674
Sr 3.7499 4.8120 0.0000
Nd 0.0000 0.0000 8.3347
Au 1.8750 2.3930 1.3816
Au 1.8750 4.8251 2.7858
Au 1.8750 0.0000 5.5715
Au 1.8750 4.8251 5.5490
Au 1.8750 2.3930 -1.3816
Au 1.8750 0.0000 2.7632
```

***

[5]
Computed, not measured: an optimized crystal structure of SrNdAu10 at the GGA-PBE level of DFT.

Summary:
- crystal system = orthorhombic
- total magnetization (μB/atom) = 0.000
- formation energy from the elements (meV per atom) = -421
- E (eV per cell) = -44.27

Geometry as extended XYZ:
```
12
Lattice="4.7279 0.0000 0.0000 0.0000 5.6115 0.0000 0.0000 0.0000 9.8027" Properties=species:S:1:pos:R:3 pbc="T T T"
Sr 0.0000 2.8057 4.9014
Nd 0.0000 0.0000 0.0000
Au 0.0000 0.0000 3.2213
Au 0.0000 2.8057 8.2180
Au 0.0000 2.8057 1.5848
Au 0.0000 0.0000 6.5814
Au 2.3639 0.0000 4.9014
Au 2.3639 2.8057 0.0000
Au 2.3639 1.3915 2.4171
Au 2.3639 4.2199 7.3856
Au 2.3639 4.2199 2.4171
Au 2.3639 1.3915 7.3856
```

***

[6]
Computed, not measured: an optimized crystal structure of SrNd3Au2 at the GGA-PBE level of DFT.

Summary:
- energy above the most stable polymorph in this dataset (meV per atom) = 0
- crystal system = orthorhombic
- total magnetization (μB/atom) = 0.000
- formation energy from the elements (meV per atom) = -524
- E (eV per cell) = -51.36

Geometry as extended XYZ:
```
12
Lattice="5.1203 0.0000 0.0000 0.0000 7.7492 0.0000 0.0000 0.0000 9.2284" Properties=species:S:1:pos:R:3 pbc="T T T"
Sr 2.5602 3.9918 5.2986
Sr 2.5602 0.1172 3.9298
Nd 0.0000 3.7449 8.5166
Nd 0.0000 7.6196 0.7118
Nd 2.5602 5.0303 1.4958
Nd 2.5602 1.1556 7.7326
Nd 0.0000 2.7312 2.9695
Nd 0.0000 6.6058 6.2589
Au 2.5602 5.8888 7.8582
Au 2.5602 2.0142 1.3702
Au 0.0000 1.8606 6.0315
Au 0.0000 5.7352 3.1970
```

***

[7]
Computed, not measured: an optimized crystal structure of SrNdAu at the GGA-PBE level of DFT.

Summary:
- energy above the most stable polymorph in this dataset (meV per atom) = 175
- crystal system = trigonal
- total magnetization (μB/atom) = 0.000
- formation energy from the elements (meV per atom) = -321
- E (eV per cell) = -10.69

Geometry as extended XYZ:
```
3
Lattice="4.7245 0.0000 0.0000 0.0000 5.0239 0.0000 0.0000 -2.5119 4.3508" Properties=species:S:1:pos:R:3 pbc="T T T"
Nd 0.5799 0.0000 0.0000
Au 1.1750 0.0000 2.9006
Sr 2.9695 2.5120 1.4503
```

***

[8]
Computed, not measured: an optimized crystal structure of SrNdAu at the GGA-PBE level of DFT.

Summary:
- energy above the most stable polymorph in this dataset (meV per atom) = 21
- crystal system = tetragonal
- total magnetization (μB/atom) = 0.000
- formation energy from the elements (meV per atom) = -474
- E (eV per cell) = -11.15

Geometry as extended XYZ:
```
3
Lattice="3.8208 0.0000 0.0000 0.0000 3.8208 0.0000 -1.9104 -1.9104 6.8430" Properties=species:S:1:pos:R:3 pbc="T T T"
Nd 0.0000 0.0000 3.9941
Au 1.9104 1.9104 2.4807
Sr 0.0000 0.0000 0.3683
```